KYP: optimized geometry, GGA-PBEsol.

Crystal system: cubic
E_form in kcal/mol of atoms: -8.97
V in Å³/f.u.: 81
Total DFT energy (no corrections) in eV per cell: -14.914

Cell: 4.8542 4.8542 4.8542 Å, 60.00 60.00 60.00°
Fractional positions:
K 0.5000 0.5000 0.5000
Y 0.0000 0.0000 0.0000
P 0.2500 0.2500 0.2500

---

YCu2Bi2Se2O4: optimized geometry, GGA-PBEsol.

Crystal system: tetragonal
V in Å³/f.u.: 180
Total DFT energy (no corrections) in eV per cell: -68.513

Cell: 3.8388 3.8388 12.4863 Å, 98.84 98.84 90.00°
Fractional positions:
Bi 0.6026 0.6026 0.2053
Se 0.8115 0.8115 0.6231
O 0.4439 0.9439 0.8879
O 0.0561 0.5561 0.1121
Cu 0.7500 0.2500 0.5000
Se 0.1885 0.1885 0.3769
O 0.9439 0.4439 0.8879
Bi 0.3974 0.3974 0.7947
Y 0.0000 0.0000 0.0000
Cu 0.2500 0.7500 0.5000
O 0.5561 0.0561 0.1121

---

Mo3WSe6S2: optimized geometry, GGA-PBEsol.

Crystal system: trigonal
V in Å³/f.u.: 234
Total DFT energy (no corrections) in eV per cell: -89.830

Cell: 3.2351 3.2351 25.8422 Å, 90.00 90.00 120.00°
Fractional positions:
Se 0.3333 0.6667 0.1833
Mo 0.0000 0.0000 0.7494
Se 0.0000 0.0000 0.4387
S 0.3333 0.6667 0.8085
S 0.3333 0.6667 0.6904
W 0.0000 0.0000 0.2488
Se 0.3333 0.6667 0.3142
Se 0.0000 0.0000 0.5686
Mo 0.3333 0.6667 0.9952
Se 0.0000 0.0000 0.9303
Se 0.0000 0.0000 0.0601
Mo 0.3333 0.6667 0.5037

---

Zr2ScCo: optimized geometry, GGA-PBEsol.

Crystal system: tetragonal
E_form in kcal/mol of atoms: -1.53
V in Å³/f.u.: 75
Total DFT energy (no corrections) in eV per cell: -32.787

Cell: 3.2045 3.2045 7.3054 Å, 90.00 90.00 90.00°
Fractional positions:
Co 0.5000 0.5000 0.0000
Zr 0.0000 0.0000 0.7943
Sc 0.5000 0.5000 0.5000
Zr 0.0000 0.0000 0.2057

---

ScAgRu2: optimized geometry, GGA-PBEsol.

Crystal system: tetragonal
E_form in kcal/mol of atoms: 4.11
V in Å³/f.u.: 62
Total DFT energy (no corrections) in eV per cell: -29.547

Cell: 3.9049 3.9049 4.9000 Å, 113.48 113.48 90.00°
Fractional positions:
Ru 0.2500 0.7500 0.5000
Ru 0.7500 0.2500 0.5000
Sc 0.5000 0.5000 0.0000
Ag 0.0000 0.0000 0.0000

---

Zn2CdCu2: optimized geometry, GGA-PBEsol.

Crystal system: tetragonal
E_form in kcal/mol of atoms: -0.29
V in Å³/f.u.: 70
Total DFT energy (no corrections) in eV per cell: -26.185

Cell: 2.8438 7.0137 7.0137 Å, 90.00 90.00 90.00°
Fractional positions:
Zn 0.0000 0.8719 0.6281
Cd 0.0000 0.0000 0.0000
Cu 0.5000 0.8325 0.3325
Cu 0.5000 0.1675 0.6675
Cu 0.5000 0.3325 0.1675
Zn 0.0000 0.6281 0.1281
Zn 0.0000 0.3719 0.8719
Zn 0.0000 0.1281 0.3719
Cu 0.5000 0.6675 0.8325
Cd 0.0000 0.5000 0.5000

---

no.,magnetic moment (μB per formula unit)
1,0.00
2,0.00
3,0.00
4,0.00
5,0.01
6,0.00